No. 1
A plane-wave DFT calculation with PBE-GGA was carried out for an optimized crystal structure of MgTi3Os.

The structure in POSCAR format:
```
MgTi3Os
1.0
4.789 0.000 0.000
0.000 4.789 0.000
0.000 0.000 4.789
Mg Os Ti
1 1 3
direct
0.500 0.500 0.500
0.000 0.000 0.000
0.000 0.500 0.000
0.000 0.000 0.500
0.500 0.000 0.000
```

Output
Calculated formation energy   0.41 eV/atom
Calculated volume   109.9 Å³/f.u.
Space group   Pm-3m (221)
Crystal system   cubic
Total energy   -34.48 eV/cell
ΔE to the lowest computed polymorph   0 meV/atom

No. 2
A plane-wave DFT calculation with PBE-GGA was carried out for an optimized crystal structure of RbCeCrN3.

The structure in POSCAR format:
```
RbCeCrN3
1.0
3.769 0.000 0.000
-1.884 6.845 -0.035
0.000 -2.046 7.726
Rb Ce Cr N
2 2 2 6
direct
0.362 0.724 0.931
0.638 0.276 0.069
0.657 0.315 0.571
0.343 0.685 0.429
0.000 0.999 0.330
0.000 0.001 0.670
0.869 0.738 0.239
0.835 0.671 0.601
0.511 0.023 0.328
0.165 0.329 0.399
0.489 0.977 0.672
0.131 0.262 0.761
```

Output
Calculated volume   99.5 Å³/f.u.
Space group   C2/m (12)
Formation energy (no corrections)   -3.619 eV per formula unit
Crystal system   monoclinic
Total energy   -90.24 eV/cell

No. 3
A plane-wave DFT calculation with PBE-GGA was carried out for an optimized crystal structure of ErMgScRh.

The structure in POSCAR format:
```
ErMgScRh
1.0
4.889 0.000 0.000
2.444 4.234 0.000
2.444 1.411 3.991
Sc Mg Rh Er
1 1 1 1
direct
0.000 0.000 0.000
0.250 0.250 0.250
0.750 0.750 0.750
0.500 0.500 0.500
```

Output
Calculated formation energy   -0.44 eV/atom
Calculated volume   82.6 Å³/f.u.
Space group   F-43m (216)
Crystal system   cubic
Total energy   -21.59 eV/cell
ΔE to the lowest computed polymorph   84 meV/atom

No. 4
A plane-wave DFT calculation with PBE-GGA was carried out for an optimized crystal structure of La6HoCd.

The structure in POSCAR format:
```
La6HoCd
1.0
-5.343 1.058 3.188
-4.204 -1.877 -4.190
-7.661 -7.772 0.230
La Ho Cd
6 1 1
direct
0.886 0.614 0.633
0.617 0.890 0.876
0.758 0.255 0.242
0.383 0.110 0.124
0.114 0.386 0.367
0.242 0.745 0.758
0.500 0.500 0.500
0.000 0.000 0.000
```

Output
Calculated formation energy   -0.05 eV/atom
Calculated volume   269.6 Å³/f.u.
Space group   P-1 (2)
Crystal system   triclinic
Total energy   -35.44 eV/cell
ΔE to the lowest computed polymorph   11 meV/atom

No. 5
A plane-wave DFT calculation with PBE-GGA was carried out for an optimized crystal structure of Ag3AuSe2.

The structure in POSCAR format:
```
Ag3AuSe2
1.0
4.930 0.000 0.000
0.000 7.799 0.000
-2.465 -3.899 6.713
Ag Au Se
6 2 4
direct
0.500 0.250 0.000
0.500 0.750 0.000
0.820 0.070 0.640
0.180 0.430 0.360
0.180 0.930 0.360
0.820 0.570 0.640
0.000 0.500 0.000
0.000 0.000 0.000
0.518 0.357 0.714
0.804 0.143 0.286
0.196 0.857 0.714
0.482 0.643 0.286
```

Output
Calculated volume   129.1 Å³/f.u.
Space group   Ibam (72)
Formation energy (no corrections)   -0.352 eV per formula unit
Crystal system   orthorhombic
Total energy   -38.30 eV/cell

No. 6
A plane-wave DFT calculation with PBE-GGA was carried out for an optimized crystal structure of ZnFeCu2.

The structure in POSCAR format:
```
ZnFeCu2
1.0
-0.334 -2.471 -2.609
1.943 -1.365 1.044
-1.491 -4.070 4.045
Cu Fe Zn
2 1 1
direct
0.000 0.995 0.004
0.500 0.248 0.252
0.000 0.507 0.493
0.500 0.750 0.750
```

Output
Calculated formation energy   0.07 eV/atom
Calculated volume   49.6 Å³/f.u.
Space group   Pm (6)
Crystal system   monoclinic
Total energy   -17.67 eV/cell

No. 7
A plane-wave DFT calculation with PBE-GGA was carried out for an optimized crystal structure of CsTl2WBr8.

The structure in POSCAR format:
```
CsTl2WBr8
1.0
6.372 -1.451 0.002
-1.607 7.825 0.006
-0.008 0.010 10.038
Cs Tl W Br
1 2 1 8
direct
0.000 0.000 0.500
0.502 0.499 0.732
0.498 0.501 0.268
0.000 0.000 0.000
0.039 0.789 0.178
0.586 0.814 0.999
0.958 0.209 0.177
0.961 0.211 0.822
0.414 0.186 0.001
0.042 0.791 0.823
0.394 0.703 0.501
0.606 0.297 0.499
```

Output
Calculated volume   477.1 Å³/f.u.
Space group   P-1 (2)
Formation energy (no corrections)   -9.555 eV per formula unit
Crystal system   triclinic
Total energy   -41.48 eV/cell

No. 8
A plane-wave DFT calculation with PBE-GGA was carried out for an optimized crystal structure of PuPaTlSn.

The structure in POSCAR format:
```
PuPaTlSn
1.0
-0.335 1.640 -5.089
-4.608 -0.518 -2.684
-2.885 4.343 -1.231
Tl Pa Sn Pu
1 1 1 1
direct
0.750 0.750 0.750
0.500 0.500 0.500
0.250 0.250 0.250
0.000 0.000 0.000
```

Output
Calculated formation energy   0.04 eV/atom
Calculated volume   108.7 Å³/f.u.
Space group   F-43m (216)
Crystal system   cubic
Total energy   -30.04 eV/cell

No. 9
A plane-wave DFT calculation with PBE-GGA was carried out for an optimized crystal structure of MgB2N.

The structure in POSCAR format:
```
MgB2N
1.0
-3.448 -3.808 -0.048
3.533 -3.174 -1.960
0.833 -4.240 1.635
Mg B N
2 4 2
direct
0.000 0.000 0.000
0.750 0.250 0.500
0.505 0.125 0.250
0.245 0.625 0.250
0.375 0.495 0.750
0.875 0.755 0.750
0.500 0.500 0.000
0.250 0.750 0.500
```

Output
Calculated volume   37.7 Å³/f.u.
Space group   I-42d (122)
Formation energy (no corrections)   2.382 eV per formula unit
Crystal system   tetragonal
Total energy   -41.79 eV/cell
ΔE to the lowest computed polymorph   0 meV/atom

No. 10
A plane-wave DFT calculation with PBE-GGA was carried out for an optimized crystal structure of AcDy3Bi4.

The structure in POSCAR format:
```
AcDy3Bi4
1.0
4.586 -0.057 0.078
0.058 7.619 2.223
-0.128 0.440 7.923
Ac Bi Dy
1 4 3
direct
0.500 0.500 0.000
0.000 0.766 0.734
0.500 0.758 0.258
0.000 0.235 0.266
0.500 0.242 0.742
0.500 0.000 0.500
0.000 0.000 0.000
0.000 0.500 0.500
```

Output
Calculated formation energy   -0.87 eV/atom
Calculated volume   272.5 Å³/f.u.
Space group   Cmmm (65)
Crystal system   orthorhombic
Total energy   -40.36 eV/cell

No. 11
A plane-wave DFT calculation with PBE-GGA was carried out for an optimized crystal structure of LaScCd.

The structure in POSCAR format:
```
LaScCd
1.0
-0.694 -4.358 5.408
2.778 -3.505 5.359
-0.483 2.126 2.834
Sc Cd La
1 1 1
direct
0.648 0.648 0.352
0.018 0.018 0.982
0.334 0.334 0.666
```

Output
Calculated formation energy   -0.16 eV/atom
Calculated volume   83.2 Å³/f.u.
Space group   I4mm (107)
Crystal system   tetragonal
Total energy   -12.66 eV/cell
ΔE to the lowest computed polymorph   12 meV/atom

No. 12
A plane-wave DFT calculation with PBE-GGA was carried out for an optimized crystal structure of Pa3MoS6.

The structure in POSCAR format:
```
Pa3MoS6
1.0
-7.471 -0.310 1.519
0.575 -6.600 -3.786
2.547 -2.446 6.764
Pa Mo S
6 2 12
direct
0.364 0.881 0.712
0.881 0.712 0.364
0.288 0.636 0.119
0.712 0.364 0.881
0.119 0.288 0.636
0.636 0.119 0.288
0.000 0.000 0.000
0.500 0.500 0.500
0.318 0.987 0.072
0.013 0.928 0.682
0.561 0.810 0.432
0.928 0.682 0.013
0.432 0.561 0.810
0.190 0.568 0.439
0.810 0.432 0.561
0.568 0.439 0.190
0.072 0.318 0.987
0.439 0.190 0.568
0.987 0.072 0.318
0.682 0.013 0.928
```

Output
Calculated volume   215.1 Å³/f.u.
Space group   R-3 (148)
Formation energy (no corrections)   -13.099 eV per formula unit
Crystal system   trigonal
Total energy   -154.36 eV/cell